1.
The following is a PBE-GGA calculation of a geometry-optimized Fe2AgP structure, from Alexandria.

abc: 8.3770 8.3770 8.3770
angles: 19.38 19.38 19.38
Last column: nearest neighbours and their distance in Å.
Positions (direct):
Ag1 0.7487 0.7487 0.7487  3 Fe 2.80, 6 Ag 2.82, 3 P 2.97
Fe1 0.9894 0.9894 0.9894  3 Fe 2.50
Fe2 0.2458 0.2458 0.2458  3 P 2.25, 3 Fe 2.50
P1 0.5161 0.5161 0.5161  3 Fe 2.25

Its total energy is -6.12 eV per atom. For the total magnetization, the calculation gives 1.1284 μB/atom.

2.
The following is a PBE-GGA calculation of a geometry-optimized FeAg2P structure, from Alexandria.

abc: 5.3149 5.3149 5.3149
angles: 146.57 129.59 61.84
Last column: nearest neighbours and their distance in Å.
Positions (direct):
Ag1 0.0220 0.0220 0.0000  4 Fe 2.79, 4 P 2.86-3.11, 6 Ag 2.96-3.06
Ag2 0.7317 0.2317 0.5000  4 P 2.78, 4 Fe 2.92-3.07, 6 Ag 2.96-3.06
Fe1 0.4589 0.4589 0.0000  2 P 2.19
P1 0.2873 0.7873 0.5000  2 Fe 2.19

Its total energy is -4.61 eV per atom. For the total magnetization, the calculation gives 0.5136 μB/atom.

3.
The following is a PBE-GGA calculation of a geometry-optimized Fe2AgP structure, from Alexandria.

abc: 4.6864 4.6864 4.6864
angles: 140.55 123.05 71.48
Last column: nearest neighbours and their distance in Å.
Positions (direct):
Ag1 0.7500 0.2500 0.5000  8 Fe 2.71-2.77, 4 P 2.74
Fe1 0.0485 0.0485 0.0000  2 P 2.20
Fe2 0.4515 0.4515 0.0000  2 P 2.20
P1 0.2500 0.7500 0.5000  4 Fe 2.20

Its total energy is -6.11 eV per atom. For the total magnetization, the calculation gives 0.9106 μB/atom.

4.
The following is a PBE-GGA calculation of a geometry-optimized FeAgP2 structure, from Alexandria.

abc: 4.2782 4.2782 4.2782
angles: 60.00 60.00 60.00
Last column: nearest neighbours and their distance in Å.
Positions (direct):
P1 0.2500 0.2500 0.2500  4 Fe 2.62, 4 Ag 2.62
P2 0.7500 0.7500 0.7500  4 Ag 2.62, 4 Fe 2.62
Fe1 0.0000 0.0000 0.0000  8 P 2.62
Ag1 0.5000 0.5000 0.5000  8 P 2.62

Its total energy is -5.04 eV per atom. For the total magnetization, the calculation gives 0.0002 μB/atom. As for the polymorph energy (0 for the lowest one): 483.5 meV/atom.

5.
The following is a PBE-GGA calculation of a geometry-optimized FeAgP2 structure, from Alexandria.

abc: 7.6261 7.6261 7.6261
angles: 22.79 22.79 22.79
Last column: nearest neighbours and their distance in Å.
Positions (direct):
Ag1 0.5009 0.5009 0.5009  3 P 2.73, 3 Fe 2.80, 6 Ag 3.01
Fe1 0.7355 0.7355 0.7355  3 P 2.29
P1 0.0016 0.0016 0.0016  3 Fe 2.29, 3 P 2.38
P2 0.2619 0.2619 0.2619  3 P 2.38

Its total energy is -5.27 eV per atom. For the total magnetization, the calculation gives 0.5714 μB/atom. As for the polymorph energy (0 for the lowest one): 257.3 meV/atom.

6.
The following is a PBE-GGA calculation of a geometry-optimized Fe2AgP structure, from Alexandria.

abc: 3.8125 3.8125 8.8021
angles: 77.49 77.49 90.00
Last column: nearest neighbours and their distance in Å.
Positions (direct):
P1 0.5000 0.5000 0.0000  4 Fe 2.40
P2 0.2500 0.7500 0.5000  4 Fe 2.40
Fe1 0.5519 0.1250 0.2500  2 Fe 2.34, 2 P 2.40, 2 Ag 2.61
Fe2 0.1981 0.6250 0.2500  2 Fe 2.34, 2 P 2.40, 2 Ag 2.61
Fe3 0.3750 0.4481 0.7500  2 Fe 2.34, 2 P 2.40, 2 Ag 2.61
Fe4 0.8750 0.8019 0.7500  2 Fe 2.34, 2 P 2.40, 2 Ag 2.61
Ag1 0.0000 0.0000 0.0000  4 Fe 2.61, 4 P 2.70
Ag2 0.7500 0.2500 0.5000  4 Fe 2.61, 4 P 2.70

Its total energy is -5.82 eV per atom. For the total magnetization, the calculation gives 1.2535 μB/atom.

7.
The following is a PBE-GGA calculation of a geometry-optimized Fe2AgP structure, from Alexandria.

abc: 4.6848 4.6848 4.6848
angles: 132.84 132.84 68.91
Last column: nearest neighbours and their distance in Å.
Positions (direct):
Fe1 0.0000 0.0000 0.0000  4 P 2.65, 4 Fe 2.69, 4 Ag 2.69
Fe2 0.2500 0.7500 0.5000  4 Ag 2.65, 4 Fe 2.69, 4 P 2.69
Ag1 0.7500 0.2500 0.5000  8 Fe 2.65-2.69, 4 P 2.69
P1 0.5000 0.5000 0.0000  8 Fe 2.65-2.69, 4 Ag 2.69

Its total energy is -5.97 eV per atom. For the total magnetization, the calculation gives 1.3115 μB/atom.

8.
The following is a PBE-GGA calculation of a geometry-optimized FeAg2P structure, from Alexandria.

abc: 6.9587 6.9587 6.9587
angles: 156.73 150.95 37.55
Last column: nearest neighbours and their distance in Å.
Positions (direct):
Ag1 0.0704 0.0704 0.0000  2 P 2.75, 6 Ag 2.81-2.91, 2 Fe 2.94
Ag2 0.4296 0.4296 0.0000  2 P 2.75, 6 Ag 2.81-2.91, 2 Fe 2.94
Fe1 0.7500 0.2500 0.5000  4 P 2.24
P1 0.2500 0.7500 0.5000  4 Fe 2.24

Its total energy is -4.73 eV per atom. For the total magnetization, the calculation gives 0.3347 μB/atom.

9.
The following is a PBE-GGA calculation of a geometry-optimized FeAg2P structure, from Alexandria.

abc: 5.0316 5.0316 2.8231
angles: 90.00 90.00 116.94
Last column: nearest neighbours and their distance in Å.
Positions (direct):
Ag1 0.0000 0.0000 0.0000  4 Ag 2.63-2.82, 4 P 2.88, 4 Fe 2.88
Ag2 0.5000 0.5000 0.0000  4 Ag 2.63-2.82, 4 Fe 2.88, 4 P 2.88
Fe1 0.5000 0.0000 0.5000  2 P 2.63, 2 Fe 2.82, 8 Ag 2.88
P1 0.0000 0.5000 0.5000  2 Fe 2.63, 2 P 2.82, 8 Ag 2.88

Its total energy is -4.45 eV per atom. For the total magnetization, the calculation gives 0.7127 μB/atom.

10.
The following is a PBE-GGA calculation of a geometry-optimized FeAgP2 structure, from Alexandria.

abc: 4.4079 4.4079 4.4079
angles: 60.00 60.00 60.00
Last column: nearest neighbours and their distance in Å.
Positions (direct):
Ag1 0.5000 0.5000 0.5000  4 Fe 2.70, 4 P 2.70
Fe1 0.7500 0.7500 0.7500  4 P 2.70, 4 Ag 2.70
P1 0.0000 0.0000 0.0000  4 Fe 2.70, 4 P 2.70
P2 0.2500 0.2500 0.2500  4 P 2.70, 4 Ag 2.70

Its total energy is -4.87 eV per atom. For the total magnetization, the calculation gives 0.6699 μB/atom. As for the polymorph energy (0 for the lowest one): 653.5 meV/atom.

11.
The following is a PBE-GGA calculation of a geometry-optimized FeAgP2 structure, from Alexandria.

abc: 2.7659 2.7659 7.5720
angles: 90.00 90.00 90.00
Last column: nearest neighbours and their distance in Å.
Positions (direct):
Ag1 0.0000 0.0000 0.5207  4 Ag 2.77, 4 Fe 2.86, 4 P 2.87
Fe1 0.5000 0.5000 0.7967  4 P 2.23
P1 0.0000 0.0000 0.9385  4 Fe 2.23
P2 0.5000 0.5000 0.2442  8 P 2.77-3.03, 4 Ag 2.87

Its total energy is -5.25 eV per atom. For the total magnetization, the calculation gives 0.0001 μB/atom. As for the polymorph energy (0 for the lowest one): 272.6 meV/atom.

12.
The following is a PBE-GGA calculation of a geometry-optimized FeAgP2 structure, from Alexandria.

abc: 4.2144 4.2180 3.2810
angles: 90.00 90.00 90.00
Last column: nearest neighbours and their distance in Å.
Positions (direct):
Ag1 0.5000 0.0000 0.5000  8 P 2.67, 4 Fe 2.98
Fe1 0.0000 0.5000 0.5000  8 P 2.67, 4 Ag 2.98
P1 0.0000 0.0000 0.0000  4 Ag 2.67, 4 Fe 2.67, 4 P 2.98
P2 0.5000 0.5000 0.0000  4 Fe 2.67, 4 Ag 2.67, 4 P 2.98

Its total energy is -5.10 eV per atom. For the total magnetization, the calculation gives 0.5385 μB/atom. As for the polymorph energy (0 for the lowest one): 426.1 meV/atom.